HgSeCl2 | Alexandria | PBE | relaxed; calculated volume = 98.20 Å³ per cell; energy above the most stable polymorph in this dataset = 28.9 kJ per mole of atoms; raw formation energy = 18 meV per atom
1.0
3.208 -3.930 0.000
3.208 3.930 0.000
-3.190 0.000 3.895
Hg Se Cl
1 1 2
Direct
0.000 0.000 0.000
0.500 0.500 0.000
0.000 0.500 0.500
0.500 0.000 0.500



BaSr2Hg7Bi2 | Alexandria | PBE | relaxed; E = -1.687 eV/atom; calculated volume = 384.89 Å³ per cell
1.0
3.493 -3.528 0.000
3.493 3.528 0.000
0.000 0.000 15.618
Ba Sr Hg Bi
1 2 7 2
Direct
0.000 0.000 0.000
0.000 0.000 0.327
0.000 0.000 0.673
0.000 0.500 0.164
0.000 0.500 0.836
0.279 0.721 0.500
0.500 0.000 0.164
0.500 0.000 0.836
0.500 0.500 0.000
0.721 0.279 0.500
0.500 0.500 0.314
0.500 0.500 0.686



SbOsSeBr2 | Alexandria | PBE | relaxed; calculated volume = 124.39 Å³ per cell; energy above the most stable polymorph in this dataset = 0.0 kJ per mole of atoms; raw formation energy = 584 meV per atom
1.0
5.084 0.000 0.000
0.000 5.084 0.000
0.000 0.000 4.813
Sb Os Se Br
1 1 1 2
Direct
0.000 0.000 0.000
0.500 0.500 0.500
0.500 0.500 0.000
0.000 0.500 0.500
0.500 0.000 0.500



LaSb2Pd2 | Alexandria | PBE | relaxed; calculated volume = 227.12 Å³ per cell; raw formation energy = -616 meV per atom
1.0
7.874 0.000 0.000
0.000 7.874 0.000
0.000 0.000 3.663
La Sb Pd
2 4 4
Direct
0.000 0.000 0.000
0.500 0.500 0.000
0.177 0.323 0.500
0.323 0.823 0.500
0.677 0.177 0.500
0.823 0.677 0.500
0.123 0.623 0.000
0.377 0.123 0.000
0.623 0.877 0.000
0.877 0.377 0.000



SrBeW3 | Alexandria | PBE | relaxed; calculated volume = 109.35 Å³ per cell; energy above the most stable polymorph in this dataset = 245.2 kJ per mole of atoms
1.0
4.782 0.000 0.000
0.000 4.782 0.000
0.000 0.000 4.782
Sr Be W
1 1 3
Direct
0.000 0.000 0.000
0.500 0.500 0.500
0.000 0.000 0.500
0.000 0.500 0.000
0.500 0.000 0.000



Al2CdRh | Alexandria | PBE | relaxed; E = -4.263 eV/atom; calculated volume = 65.12 Å³ per cell
1.0
3.026 0.000 0.000
0.000 4.547 0.000
0.000 0.000 4.734
Al Cd Rh
2 1 1
Direct
0.000 0.000 0.000
0.500 0.500 0.177
0.000 0.500 0.667
0.500 0.000 0.440



Ca2GaRhO5 | Alexandria | PBE | relaxed; calculated volume = 220.86 Å³ per cell; raw formation energy = -2044 meV per atom
1.0
1.631 -6.504 0.000
1.631 6.504 0.000
0.000 0.000 10.411
Ca Ga Rh O
4 2 2 10
Direct
0.095 0.905 0.500
0.145 0.855 0.139
0.855 0.145 0.639
0.905 0.095 0.000
0.462 0.538 0.283
0.538 0.462 0.783
0.221 0.779 0.868
0.779 0.221 0.368
0.063 0.937 0.876
0.270 0.730 0.499
0.305 0.695 0.247
0.384 0.616 0.835
0.498 0.502 0.613
0.502 0.498 0.113
0.616 0.384 0.335
0.695 0.305 0.747
0.730 0.270 0.999
0.937 0.063 0.376



CuOsRh | Alexandria | PBE | relaxed; calculated volume = 41.12 Å³ per cell; energy above the most stable polymorph in this dataset = 10.6 kJ per mole of atoms
1.0
2.697 0.000 0.000
-1.348 2.335 0.000
0.000 0.000 6.530
Cu Os Rh
1 1 1
Direct
0.000 0.000 0.000
0.667 0.333 0.332
0.333 0.667 0.665



ThTl | Alexandria | PBE | relaxed; E = -4.975 eV/atom; calculated volume = 124.06 Å³ per cell
1.0
2.327 -5.947 0.000
2.327 5.947 0.000
0.000 0.000 4.483
Th Tl
2 2
Direct
0.138 0.862 0.750
0.862 0.138 0.250
0.411 0.589 0.750
0.589 0.411 0.250



ScZn2Ge | Alexandria | PBE | relaxed; E = -3.072 eV/atom; calculated volume = 78.96 Å³ per cell
1.0
1.509 0.871 10.006
-1.509 0.871 10.006
0.000 -1.743 10.006
Sc Zn Ge
1 2 1
Direct
0.000 0.000 0.000
0.094 0.094 0.094
0.906 0.906 0.906
0.500 0.500 0.500



TlAu2Br4 | Alexandria | PBE | relaxed; calculated volume = 531.56 Å³ per cell; raw formation energy = -293 meV per atom
1.0
7.213 -4.240 0.000
7.213 4.240 0.000
-7.035 0.000 8.690
Tl Au Br
2 4 8
Direct
0.225 0.775 0.750
0.775 0.225 0.250
0.000 0.000 0.000
0.000 0.000 0.500
0.000 0.500 0.000
0.500 0.000 0.500
0.211 0.684 0.025
0.213 0.308 0.518
0.308 0.213 0.018
0.316 0.789 0.475
0.684 0.211 0.525
0.692 0.787 0.982
0.787 0.692 0.482
0.789 0.316 0.975



AlReSe2 | Alexandria | PBE | relaxed; calculated volume = 79.48 Å³ per cell; raw formation energy = 142 meV per atom
1.0
1.569 0.906 9.324
-1.569 0.906 9.324
0.000 -1.811 9.324
Al Re Se
1 1 2
Direct
0.000 0.000 0.000
0.500 0.500 0.500
0.102 0.102 0.102
0.898 0.898 0.898